i:
Pa2SiTe: optimized geometry, PBE.

CIF file:
```
data_Pa2SiTe
_chemical_formula_sum 'Pa2 Si1 Te1'
_cell_length_a 3.571
_cell_length_b 3.571
_cell_length_c 7.309
_cell_angle_alpha 90.00
_cell_angle_beta 90.00
_cell_angle_gamma 90.00
_symmetry_space_group_name_H-M 'P 4/m m m'
_symmetry_Int_Tables_number 123
_symmetry_space_group_name_Hall '-P 4 2'
loop_
_atom_site_label
_atom_site_fract_x
_atom_site_fract_y
_atom_site_fract_z
Pa1 0.000 0.000 0.225
Si1 0.500 0.500 0.000
Te1 0.500 0.500 0.500
```

Computed properties:
theoretical density	11.003	g/cm³

ii:
Pa2SiTe: optimized geometry, PBE.

CIF file:
```
data_Pa2SiTe
_chemical_formula_sum 'Pa6 Si3 Te3'
_cell_length_a 4.1493
_cell_length_b 4.1493
_cell_length_c 21.2178
_cell_angle_alpha 90.00
_cell_angle_beta 90.00
_cell_angle_gamma 120.00
_symmetry_space_group_name_H-M 'R -3 m'
_symmetry_Int_Tables_number 166
_symmetry_space_group_name_Hall '-R 3 2"'
loop_
_atom_site_label
_atom_site_fract_x
_atom_site_fract_y
_atom_site_fract_z
Pa1 0.0000 0.0000 0.2381
Si1 0.0000 0.0000 0.5000
Te1 0.0000 0.0000 0.0000
```

Computed properties:
theoretical density	9.728	g/cm³

iii:
Pa2SiTe: optimized geometry, PBE.

CIF file:
```
data_Pa2SiTe
_chemical_formula_sum 'Pa8 Si4 Te4'
_cell_length_a 7.208
_cell_length_b 7.208
_cell_length_c 7.208
_cell_angle_alpha 90.00
_cell_angle_beta 90.00
_cell_angle_gamma 90.00
_symmetry_space_group_name_H-M 'F m -3 m'
_symmetry_Int_Tables_number 225
_symmetry_space_group_name_Hall '-F 4 2 3'
loop_
_atom_site_label
_atom_site_fract_x
_atom_site_fract_y
_atom_site_fract_z
Pa1 0.250 0.250 0.250
Si1 0.000 0.000 0.000
Te1 0.000 0.000 0.500
```

Computed properties:
theoretical density	10.955	g/cm³

Stability check: which of them is least stable? iii.